# 1
Material: RbSr3Rh
Method: DFT, PBE
State: relaxed

As for the energy above the most stable polymorph in this dataset: 234 meV/atom. As for the crystal system: hexagonal.

The structure belongs to space group P6_3/mmc (No. 194); the cell edges are 4.9476, 4.9476 and 26.6430 Å and the angles 90.00°, 90.00° and 120.00°. The distinct sites, in fractional coordinates, are Rb at (0.0000, 0.0000, 0.0000), Sr at (0.0000, 0.0000, 0.2500), Sr at (0.3333, 0.6667, 0.1420) and Rh at (0.3333, 0.6667, 0.2500).



# 2
Material: RbSr3Rh
Method: DFT, PBE
State: relaxed

As for the energy above the most stable polymorph in this dataset: 697 meV/atom. As for the crystal system: trigonal.

The structure belongs to space group R3m (No. 160, hexagonal axes); the cell edges are 8.1871, 8.1871 and 24.0792 Å and the angles 90.00°, 90.00° and 120.00°. The distinct sites, in fractional coordinates, are Rb at (0.0000, 0.0000, 0.0000), Sr at (0.1728, 0.3455, 0.8389) and Rh at (0.0000, 0.0000, 0.2325).



# 3
Material: RbSrRh3
Method: DFT, PBE
State: relaxed

As for the energy above the most stable polymorph in this dataset: 93 meV/atom. As for the crystal system: cubic.

The structure belongs to space group Pm-3m (No. 221); the cell edges are 5.021, 5.021 and 5.021 Å and the angles 90.00°, 90.00° and 90.00°. The distinct sites, in fractional coordinates, are Rb at (0.000, 0.000, 0.000), Sr at (0.500, 0.500, 0.500) and Rh at (0.000, 0.000, 0.500).



# 4
Material: RbSr3Rh
Method: DFT, PBE
State: relaxed

As for the energy above the most stable polymorph in this dataset: 67 meV/atom. As for the crystal system: monoclinic.

The structure belongs to space group C2/c (No. 15); the cell edges are 17.407, 15.218 and 8.245 Å and the angles 90.00°, 116.63° and 90.00°. The distinct sites, in fractional coordinates, are Rb at (0.000, 0.197, 0.250), Rb at (0.000, 0.282, 0.750), Sr at (0.129, 0.459, 0.504), Sr at (0.145, 0.034, 0.024), Sr at (0.246, 0.287, 0.270) and Rh at (0.208, 0.115, 0.388).



# 5
Material: RbSr3Rh
Method: DFT, PBE
State: relaxed

As for the energy above the most stable polymorph in this dataset: 0 meV/atom. As for the crystal system: orthorhombic.

The structure belongs to space group Pmmm (No. 47); the cell edges are 4.501, 6.000 and 9.176 Å and the angles 90.00°, 90.00° and 90.00°. The distinct sites, in fractional coordinates, are Rb at (0.000, 0.000, 0.000), Sr at (0.000, 0.000, 0.500), Sr at (0.500, 0.500, 0.290) and Rh at (0.000, 0.500, 0.500).



# 6
Material: RbSr2Rh
Method: DFT, PBE
State: relaxed

As for the energy above the most stable polymorph in this dataset: 288 meV/atom. As for the crystal system: cubic.

The structure belongs to space group Fm-3m (No. 225); the cell edges are 8.116, 8.116 and 8.116 Å and the angles 90.00°, 90.00° and 90.00°. The distinct sites, in fractional coordinates, are Rb at (0.000, 0.000, 0.000), Sr at (0.250, 0.250, 0.250) and Rh at (0.000, 0.000, 0.500).



Short version: calculated formation energy = 0.13, 0.59, 1.51, -0.04, -0.11, 0.26 eV per atom, in the order given.
Short version: raw total energy = -2.55, -2.08, -3.43, -2.71, -2.78, -2.66 eV/atom, in the order given.